1.
Entry from the Alexandria database: an optimized crystal structure of Tl2CrP (PBE).

Summary:
ΔH_f (0 K), eV/atom: 0.549
Spin magnetization, μB/f.u.: 4.425
N(E_F), states/eV/f.u.: 1.391
V, Å³/cell: 92

Unit cell a=4.288 b=4.288 c=4.996 alpha=90.00 beta=90.00 gamma=90.00
Last column: magnetic moment on the atom in μB.
Element x y z (fractional)
Cr  0.500  0.000  0.500  3.93
Tl  0.500  0.500  0.000  0.04
Tl  0.000  0.000  0.000  0.04
P  0.000  0.500  0.500  -0.09

***

2.
Entry from the Alexandria database: an optimized crystal structure of TlCr2P (PBE).

Summary:
ΔH_f (0 K), eV/atom: 0.577
Spin magnetization, μB/f.u.: 7.711
N(E_F), states/eV/f.u.: 2.814
V, Å³/cell: 71

Unit cell a=4.496 b=4.502 c=3.520 alpha=90.00 beta=90.00 gamma=90.00
Last column: magnetic moment on the atom in μB.
Element x y z (fractional)
Tl  0.000  0.500  0.500  -0.02
Cr  0.000  0.000  0.000  3.57
P  0.500  0.000  0.500  -0.12
Cr  0.500  0.500  0.000  3.57